ScReRh | meta-GGA SCAN | single point on PBEsol structure

Summary:
- Final energy: -39.83 eV per atom
- N(E_F): 5.2 states/eV/cell
- Energy relative to the elements: -131.7 meV/atom
- Crystal system: orthorhombic

Geometry as CIF:
```
data_ScReRh
_chemical_formula_sum 'Sc2 Re2 Rh2'
_cell_length_a 2.8449
_cell_length_b 3.6262
_cell_length_c 9.1571
_cell_angle_alpha 90.00
_cell_angle_beta 90.00
_cell_angle_gamma 90.00
_space_group_name_H-M_alt 'I m m 2'
_space_group_IT_number 44
loop_
_space_group_symop_operation_xyz
'x,y,z'
'-x,-y,z'
'-x,y,z'
'x,-y,z'
'x+1/2,y+1/2,z+1/2'
'-x+1/2,-y+1/2,z+1/2'
'-x+1/2,y+1/2,z+1/2'
'x+1/2,-y+1/2,z+1/2'
loop_
_atom_site_label
_atom_site_fract_x
_atom_site_fract_y
_atom_site_fract_z
Sc1 0.0000 0.0000 0.0000
Re1 0.0000 0.0000 0.3182
Rh1 0.0000 0.0000 0.6749
```


Sc4ReRh | meta-GGA SCAN | single point on PBEsol structure

Summary:
- Final energy: -26.47 eV per atom
- N(E_F): 21.7 states/eV/cell
- Energy relative to the elements: 504.0 meV/atom
- Crystal system: cubic

Geometry as CIF:
```
data_Sc4ReRh
_chemical_formula_sum 'Sc16 Re4 Rh4'
_cell_length_a 7.5207
_cell_length_b 7.5207
_cell_length_c 7.5207
_cell_angle_alpha 90.00
_cell_angle_beta 90.00
_cell_angle_gamma 90.00
_space_group_name_H-M_alt 'F -4 3 m'
_space_group_IT_number 216
_space_group_name_Hall 'F -4 2 3'
loop_
_atom_site_label
_atom_site_fract_x
_atom_site_fract_y
_atom_site_fract_z
Sc1 0.1251 0.1251 0.1251
Re1 0.0000 0.0000 0.5000
Rh1 0.2500 0.2500 0.7500
```


ZrScRe2Rh | meta-GGA SCAN | single point on PBEsol structure

Summary:
- Final energy: -42.11 eV per atom
- N(E_F): 5.8 states/eV/cell
- Energy relative to the elements: 2067.5 meV/atom
- Crystal system: tetragonal

Geometry as CIF:
```
data_ZrScRe2Rh
_chemical_formula_sum 'Zr1 Sc1 Re2 Rh1'
_cell_length_a 4.4582
_cell_length_b 4.4582
_cell_length_c 4.6442
_cell_angle_alpha 90.00
_cell_angle_beta 90.00
_cell_angle_gamma 90.00
_space_group_name_H-M_alt 'P 4/m m m'
_space_group_IT_number 123
_space_group_name_Hall '-P 4 2'
loop_
_atom_site_label
_atom_site_fract_x
_atom_site_fract_y
_atom_site_fract_z
Zr1 0.0000 0.0000 0.0000
Sc1 0.0000 0.0000 0.5000
Re1 0.0000 0.5000 0.5000
Rh1 0.5000 0.5000 0.0000
```


Re3RhSe | meta-GGA SCAN | single point on PBEsol structure

Summary:
- Final energy: -50.90 eV per atom
- N(E_F): 5.5 states/eV/cell
- Crystal system: cubic

Geometry as CIF:
```
data_Re3RhSe
_chemical_formula_sum 'Re3 Rh1 Se1'
_cell_length_a 4.6255
_cell_length_b 4.6255
_cell_length_c 4.6255
_cell_angle_alpha 90.00
_cell_angle_beta 90.00
_cell_angle_gamma 90.00
_space_group_name_H-M_alt 'P m -3 m'
_space_group_IT_number 221
_space_group_name_Hall '-P 4 2 3'
loop_
_atom_site_label
_atom_site_fract_x
_atom_site_fract_y
_atom_site_fract_z
Re1 0.0000 0.0000 0.5000
Rh1 0.0000 0.0000 0.0000
Se1 0.5000 0.5000 0.5000
```


ReRhSe4 | meta-GGA SCAN | single point on PBEsol structure

Summary:
- Final energy: -29.17 eV per atom
- N(E_F): 22.5 states/eV/cell
- Crystal system: cubic

Geometry as CIF:
```
data_ReRhSe4
_chemical_formula_sum 'Re4 Rh4 Se16'
_cell_length_a 7.5272
_cell_length_b 7.5272
_cell_length_c 7.5272
_cell_angle_alpha 90.00
_cell_angle_beta 90.00
_cell_angle_gamma 90.00
_space_group_name_H-M_alt 'F -4 3 m'
_space_group_IT_number 216
_space_group_name_Hall 'F -4 2 3'
loop_
_atom_site_label
_atom_site_fract_x
_atom_site_fract_y
_atom_site_fract_z
Re1 0.0000 0.0000 0.0000
Rh1 0.2500 0.2500 0.2500
Se1 0.1245 0.1245 0.6245
```


ReSiRh2 | meta-GGA SCAN | single point on PBEsol structure

Summary:
- Final energy: -37.53 eV per atom
- N(E_F): 4.9 states/eV/cell
- Crystal system: orthorhombic

Geometry as CIF:
```
data_ReSiRh2
_chemical_formula_sum 'Re2 Si2 Rh4'
_cell_length_a 2.7668
_cell_length_b 4.3294
_cell_length_c 9.0088
_cell_angle_alpha 90.00
_cell_angle_beta 90.00
_cell_angle_gamma 90.00
_space_group_name_H-M_alt 'I m m 2'
_space_group_IT_number 44
loop_
_space_group_symop_operation_xyz
'x,y,z'
'-x,-y,z'
'-x,y,z'
'x,-y,z'
'x+1/2,y+1/2,z+1/2'
'-x+1/2,-y+1/2,z+1/2'
'-x+1/2,y+1/2,z+1/2'
'x+1/2,-y+1/2,z+1/2'
loop_
_atom_site_label
_atom_site_fract_x
_atom_site_fract_y
_atom_site_fract_z
Re1 0.0000 0.0000 0.0000
Si1 0.0000 0.5000 0.2751
Rh1 0.0000 0.0000 0.5657
Rh2 0.0000 0.5000 0.7684
```


Re2SiRh | meta-GGA SCAN | single point on PBEsol structure

Summary:
- Final energy: -46.47 eV per atom
- N(E_F): 8.2 states/eV/cell
- Crystal system: tetragonal

Geometry as CIF:
```
data_Re2SiRh
_chemical_formula_sum 'Re4 Si2 Rh2'
_cell_length_a 3.7512
_cell_length_b 3.7512
_cell_length_c 7.7956
_cell_angle_alpha 90.00
_cell_angle_beta 90.00
_cell_angle_gamma 90.00
_space_group_name_H-M_alt 'I 4/m m m'
_space_group_IT_number 139
_space_group_name_Hall '-I 4 2'
loop_
_atom_site_label
_atom_site_fract_x
_atom_site_fract_y
_atom_site_fract_z
Re1 0.0000 0.5000 0.2500
Si1 0.0000 0.0000 0.0000
Rh1 0.0000 0.0000 0.5000
```


ReSiRh | meta-GGA SCAN | single point on PBEsol structure

Summary:
- E above lowest polymorph: 74.0 kJ/mol of formula units
- Final energy: -38.32 eV per atom
- N(E_F): 12.3 states/eV/cell
- Crystal system: cubic

Geometry as CIF:
```
data_ReSiRh
_chemical_formula_sum 'Re4 Si4 Rh4'
_cell_length_a 5.6274
_cell_length_b 5.6274
_cell_length_c 5.6274
_cell_angle_alpha 90.00
_cell_angle_beta 90.00
_cell_angle_gamma 90.00
_space_group_name_H-M_alt 'F -4 3 m'
_space_group_IT_number 216
_space_group_name_Hall 'F -4 2 3'
loop_
_atom_site_label
_atom_site_fract_x
_atom_site_fract_y
_atom_site_fract_z
Re1 0.0000 0.0000 0.0000
Si1 0.2500 0.2500 0.2500
Rh1 0.0000 0.0000 0.5000
```


ReSiRh2 | meta-GGA SCAN | single point on PBEsol structure

Summary:
- Final energy: -37.52 eV per atom
- N(E_F): 4.9 states/eV/cell
- Crystal system: orthorhombic

Geometry as CIF:
```
data_ReSiRh2
_chemical_formula_sum 'Re2 Si2 Rh4'
_cell_length_a 3.7679
_cell_length_b 2.7547
_cell_length_c 10.4769
_cell_angle_alpha 90.00
_cell_angle_beta 90.00
_cell_angle_gamma 90.00
_space_group_name_H-M_alt 'A m m 2'
_space_group_IT_number 38
loop_
_space_group_symop_operation_xyz
'x,y,z'
'-x,-y,z'
'-x,y,z'
'x,-y,z'
'x,y+1/2,z+1/2'
'-x,-y+1/2,z+1/2'
'-x,y+1/2,z+1/2'
'x,-y+1/2,z+1/2'
loop_
_atom_site_label
_atom_site_fract_x
_atom_site_fract_y
_atom_site_fract_z
Re1 0.0000 0.0000 0.0000
Si1 0.5000 0.0000 0.1589
Rh1 0.0000 0.0000 0.7333
Rh2 0.5000 0.0000 0.3888
```


ReSiRh | meta-GGA SCAN | single point on PBEsol structure

Summary:
- E above lowest polymorph: 0.0 kJ/mol of formula units
- Final energy: -38.57 eV per atom
- N(E_F): 3.6 states/eV/cell
- Crystal system: tetragonal

Geometry as CIF:
```
data_ReSiRh
_chemical_formula_sum 'Re2 Si2 Rh2'
_cell_length_a 2.8653
_cell_length_b 2.8653
_cell_length_c 9.6404
_cell_angle_alpha 90.00
_cell_angle_beta 90.00
_cell_angle_gamma 90.00
_space_group_name_H-M_alt 'I 4 m m'
_space_group_IT_number 107
_space_group_name_Hall 'I 4 -2'
loop_
_atom_site_label
_atom_site_fract_x
_atom_site_fract_y
_atom_site_fract_z
Re1 0.0000 0.0000 0.0000
Si1 0.0000 0.0000 0.3476
Rh1 0.0000 0.0000 0.6981
```


Re2SiRh | meta-GGA SCAN | single point on PBEsol structure

Summary:
- Final energy: -46.61 eV per atom
- N(E_F): 2.1 states/eV/cell
- Crystal system: tetragonal

Geometry as CIF:
```
data_Re2SiRh
_chemical_formula_sum 'Re2 Si1 Rh1'
_cell_length_a 2.8589
_cell_length_b 2.8589
_cell_length_c 6.5954
_cell_angle_alpha 90.00
_cell_angle_beta 90.00
_cell_angle_gamma 90.00
_space_group_name_H-M_alt 'P 4/m m m'
_space_group_IT_number 123
_space_group_name_Hall '-P 4 2'
loop_
_atom_site_label
_atom_site_fract_x
_atom_site_fract_y
_atom_site_fract_z
Re1 0.0000 0.0000 0.2245
Si1 0.5000 0.5000 0.0000
Rh1 0.5000 0.5000 0.5000
```


ReSn3Rh | meta-GGA SCAN | single point on PBEsol structure

Summary:
- Final energy: -41.38 eV per atom
- N(E_F): 4.4 states/eV/cell
- Energy relative to the elements: 1146.0 meV/atom
- Crystal system: cubic

Geometry as CIF:
```
data_ReSn3Rh
_chemical_formula_sum 'Re1 Sn3 Rh1'
_cell_length_a 4.9502
_cell_length_b 4.9502
_cell_length_c 4.9502
_cell_angle_alpha 90.00
_cell_angle_beta 90.00
_cell_angle_gamma 90.00
_space_group_name_H-M_alt 'P m -3 m'
_space_group_IT_number 221
_space_group_name_Hall '-P 4 2 3'
loop_
_atom_site_label
_atom_site_fract_x
_atom_site_fract_y
_atom_site_fract_z
Re1 0.0000 0.0000 0.0000
Sn1 0.0000 0.5000 0.5000
Rh1 0.5000 0.5000 0.5000
```


YRe2SnRh | meta-GGA SCAN | single point on PBEsol structure

Summary:
- Final energy: -45.77 eV per atom
- N(E_F): 4.9 states/eV/cell
- Energy relative to the elements: 2180.8 meV/atom
- Crystal system: tetragonal

Geometry as CIF:
```
data_YRe2SnRh
_chemical_formula_sum 'Y1 Re2 Sn1 Rh1'
_cell_length_a 4.7561
_cell_length_b 4.7561
_cell_length_c 5.2629
_cell_angle_alpha 90.00
_cell_angle_beta 90.00
_cell_angle_gamma 90.00
_space_group_name_H-M_alt 'P 4/m m m'
_space_group_IT_number 123
_space_group_name_Hall '-P 4 2'
loop_
_atom_site_label
_atom_site_fract_x
_atom_site_fract_y
_atom_site_fract_z
Y1 0.0000 0.0000 0.0000
Re1 0.0000 0.5000 0.5000
Sn1 0.0000 0.0000 0.5000
Rh1 0.5000 0.5000 0.0000
```


SrRe2Rh | meta-GGA SCAN | single point on PBEsol structure

Summary:
- E above lowest polymorph: 135.5 kJ/mol of formula units
- Final energy: -48.80 eV per atom
- N(E_F): 7.6 states/eV/cell
- Energy relative to the elements: 765.4 meV/atom
- Crystal system: orthorhombic

Geometry as CIF:
```
data_SrRe2Rh
_chemical_formula_sum 'Sr2 Re4 Rh2'
_cell_length_a 3.1024
_cell_length_b 5.1100
_cell_length_c 9.3330
_cell_angle_alpha 90.00
_cell_angle_beta 90.00
_cell_angle_gamma 90.00
_space_group_name_H-M_alt 'I m m 2'
_space_group_IT_number 44
loop_
_space_group_symop_operation_xyz
'x,y,z'
'-x,-y,z'
'-x,y,z'
'x,-y,z'
'x+1/2,y+1/2,z+1/2'
'-x+1/2,-y+1/2,z+1/2'
'-x+1/2,y+1/2,z+1/2'
'x+1/2,-y+1/2,z+1/2'
loop_
_atom_site_label
_atom_site_fract_x
_atom_site_fract_y
_atom_site_fract_z
Sr1 0.0000 0.0000 0.0000
Re1 0.0000 0.0000 0.4931
Re2 0.0000 0.5000 0.7952
Rh1 0.0000 0.5000 0.2177
```


SrRe2Rh | meta-GGA SCAN | single point on PBEsol structure

Summary:
- E above lowest polymorph: 0.0 kJ/mol of formula units
- Final energy: -49.15 eV per atom
- N(E_F): 3.4 states/eV/cell
- Energy relative to the elements: 414.2 meV/atom
- Crystal system: monoclinic

Geometry as CIF:
```
data_SrRe2Rh
_chemical_formula_sum 'Sr1 Re2 Rh1'
_cell_length_a 2.8348
_cell_length_b 3.6315
_cell_length_c 7.3331
_cell_angle_alpha 90.00
_cell_angle_beta 92.53
_cell_angle_gamma 90.00
_space_group_name_H-M_alt 'P 1 m 1'
_space_group_IT_number 6
loop_
_space_group_symop_operation_xyz
'x,y,z'
'x,-y,z'
loop_
_atom_site_label
_atom_site_fract_x
_atom_site_fract_y
_atom_site_fract_z
Sr1 0.0000 0.0000 0.0000
Re1 0.5059 0.5000 0.3337
Re2 0.8995 0.0000 0.5066
Rh1 0.4630 0.5000 0.7001
```